[1]
## Y4MgBi4O12 (GGA-PBE)

Data for Y4MgBi4O12 after structural relaxation. Values from VASP.

formation energy from raw total energies = -2.23 eV/atom

Cell and atoms, written as Quantum ESPRESSO input:
```
&SYSTEM
  ibrav = 0, nat = 21, ntyp = 4
/
ATOMIC_SPECIES
Bi 208.98 Bi.upf
O 16.00 O.upf
Y 88.91 Y.upf
Mg 24.30 Mg.upf
CELL_PARAMETERS angstrom
5.8592 0.1965 -0.5829
0.8108 5.6984 -0.2784
-0.9313 -0.1153 11.0941
ATOMIC_POSITIONS angstrom
Bi 0.1546 2.7552 5.4601
O 4.4487 4.4444 3.5122
Y -0.5252 0.0993 8.0586
O 4.1104 1.5040 1.5000
Y 2.9273 2.6271 7.7332
Bi 2.8400 5.4742 5.2887
O 4.3428 4.2784 0.6080
Mg 4.4652 2.3904 -0.2357
O 1.1325 1.3249 7.0134
O 4.5906 1.6126 9.2271
Y 3.0531 3.2806 2.3848
O 0.5762 0.8753 4.2840
O 4.7501 4.1754 7.6312
Bi 2.0752 0.1662 0.2701
O 1.5182 3.6736 3.9538
O 1.5844 4.1810 6.7742
O 1.8813 2.2145 9.7362
Y 5.9214 5.4120 2.1570
O 1.5857 4.5430 1.2358
Bi 0.0695 3.4103 10.0830
O 3.8741 1.2908 6.2543
```

[2]
## Y2MgBiO6 (GGA-PBE)

Data for Y2MgBiO6 after structural relaxation. Values from VASP.

formation energy from raw total energies = -2.54 eV/atom

Cell and atoms, written as Quantum ESPRESSO input:
```
&SYSTEM
  ibrav = 0, nat = 10, ntyp = 4
/
ATOMIC_SPECIES
Bi 208.98 Bi.upf
Y 88.91 Y.upf
O 16.00 O.upf
Mg 24.30 Mg.upf
CELL_PARAMETERS angstrom
-0.1351 0.0400 5.7208
-2.0553 -4.5195 2.8455
3.8463 -3.4974 2.9776
ATOMIC_POSITIONS angstrom
Bi -0.4073 -1.6345 2.8641
Y 3.4576 -3.3272 2.9673
O 0.5184 -1.7626 4.9023
O -0.9171 -5.0639 4.5052
O 1.3820 -5.7937 6.7475
O -0.4072 -3.6982 7.8206
Y 0.4965 -3.8433 5.7631
Mg 0.4060 -5.6164 8.6354
O 1.9746 -4.6028 4.0910
O 2.5757 -3.0791 6.5695
```

[3]
## YMg2BiO6 (GGA-PBE)

Data for YMg2BiO6 after structural relaxation. Values from VASP.

formation energy from raw total energies = -2.27 eV/atom

Cell and atoms, written as Quantum ESPRESSO input:
```
&SYSTEM
  ibrav = 0, nat = 10, ntyp = 4
/
ATOMIC_SPECIES
O 16.00 O.upf
Y 88.91 Y.upf
Mg 24.30 Mg.upf
Bi 208.98 Bi.upf
CELL_PARAMETERS angstrom
5.4756 0.0002 0.0003
2.7379 4.7419 0.0001
2.7378 1.5808 4.8816
ATOMIC_POSITIONS angstrom
O 4.4106 4.7040 1.1885
O 7.3441 3.3125 1.1890
O 4.6720 1.4678 1.1888
O 6.3995 1.8574 3.6754
O 6.1431 4.6136 3.6751
Y 8.2134 4.7422 2.8848
Mg 2.7381 1.5809 4.6076
O 3.8844 3.0134 3.6750
Mg 5.4756 3.1615 2.1253
Bi 2.7378 1.5807 0.2749
```

[4]
## Y4MgBi4O12 (GGA-PBE)

Data for Y4MgBi4O12 after structural relaxation. Values from VASP.

formation energy from raw total energies = -2.11 eV/atom

Cell and atoms, written as Quantum ESPRESSO input:
```
&SYSTEM
  ibrav = 0, nat = 21, ntyp = 4
/
ATOMIC_SPECIES
Bi 208.98 Bi.upf
O 16.00 O.upf
Y 88.91 Y.upf
Mg 24.30 Mg.upf
CELL_PARAMETERS angstrom
8.2716 0.0000 0.0000
0.0000 6.0808 -0.0517
0.0000 -0.0060 6.5486
ATOMIC_POSITIONS angstrom
Bi 5.6618 2.7757 6.3607
O 2.4038 3.7882 4.3804
O 1.3279 2.1192 2.3895
Y 4.1358 5.8851 6.4671
O 5.8678 3.7882 4.3804
O 2.3416 0.7034 5.5400
Mg 0.0000 3.3734 1.1290
Y 0.0000 3.1909 3.9528
O 0.0000 2.3976 5.9387
Bi 1.9971 0.0545 2.8635
O 6.9437 2.1192 2.3895
O 4.1358 4.3771 1.5382
O 4.1358 1.2035 1.6995
O 0.0000 5.4998 3.9215
Bi 2.6098 2.7757 6.3607
O 6.9697 5.0710 1.0272
Bi 6.2746 0.0545 2.8635
Y 0.0000 0.1703 6.1401
Y 4.1358 3.0155 3.1343
O 1.3019 5.0710 1.0272
O 5.9300 0.7034 5.5400
```

[5]
## Y4MgBi4O12 (GGA-PBE)

Data for Y4MgBi4O12 after structural relaxation. Values from VASP.

formation energy from raw total energies = -2.13 eV/atom

Cell and atoms, written as Quantum ESPRESSO input:
```
&SYSTEM
  ibrav = 0, nat = 21, ntyp = 4
/
ATOMIC_SPECIES
Bi 208.98 Bi.upf
Y 88.91 Y.upf
O 16.00 O.upf
Mg 24.30 Mg.upf
CELL_PARAMETERS angstrom
-3.9191 4.6399 -6.3364
-5.3269 -1.7521 2.0117
-0.4794 4.9952 3.9542
ATOMIC_POSITIONS angstrom
Bi -6.4685 1.8694 2.5672
Y -4.6834 3.9056 -0.3224
O -4.4210 4.6906 -4.1640
O -5.2588 6.8903 -2.1086
Y -2.1476 2.2927 -3.0719
Y -0.6409 4.7616 3.8831
O -3.5935 -0.8382 1.6089
Bi -8.5809 4.3703 -0.8481
O -6.2746 4.2242 3.4263
O -6.3292 4.0927 -1.8335
O -4.6104 2.0579 0.9455
Mg -3.2080 3.0401 4.2103
Bi -4.1079 0.6411 -0.7666
Y -2.5784 1.0291 2.3483
O -4.6003 1.5744 3.9982
O -2.9405 3.6897 -1.5585
O -2.4688 3.5872 2.4023
O -7.9065 6.1562 0.7879
O -1.6784 1.4436 0.2703
O -4.1164 5.7348 0.6664
Bi -5.5921 2.3983 -3.1663
```

[6]
## Mg6ZnBiO8 (GGA-PBE)

Data for Mg6ZnBiO8 after structural relaxation. Values from VASP.

formation energy from raw total energies = -2.04 eV/atom

Cell and atoms, written as Quantum ESPRESSO input:
```
&SYSTEM
  ibrav = 0, nat = 16, ntyp = 4
/
ATOMIC_SPECIES
Bi 208.98 Bi.upf
Mg 24.30 Mg.upf
O 16.00 O.upf
Zn 65.41 Zn.upf
CELL_PARAMETERS angstrom
4.4626 0.0000 0.0000
0.0000 4.4626 0.0000
0.0000 0.0000 9.2021
ATOMIC_POSITIONS angstrom
Bi 2.2313 2.2313 0.0000
Mg 0.0000 0.0000 4.6011
O 2.2313 2.2313 2.5283
Mg 0.0000 2.2313 2.5119
O 0.0000 2.2313 0.0000
O 2.2313 0.0000 4.6011
Zn 0.0000 0.0000 0.0000
Mg 0.0000 2.2313 6.6902
Mg 2.2313 0.0000 2.5119
O 2.2313 0.0000 0.0000
Mg 2.2313 0.0000 6.6902
O 2.2313 2.2313 6.6738
Mg 2.2313 2.2313 4.6011
O 0.0000 2.2313 4.6011
O 0.0000 0.0000 6.6882
O 0.0000 0.0000 2.5139
```